Computed, not measured: a relaxed LaPmCu10 crystal at the PBE level of DFT.

calculated density	8.10	g/cm3
SG	No. 47
Fermi-level density of states	7.04	states/eV per cell
formation enthalpy at 0 K	-2.0	eV/f.u.

Cell: 4.1280 5.1575 8.8503 Å, 90.00 90.00 90.00°
Last column: nearest neighbours and their distance in Å.
Fractional positions:
La 0.0000 0.5000 0.5000  18 Cu 2.97-3.31
Cu 0.5000 0.7520 0.2467  8 Cu 2.54-2.60
Cu 0.5000 0.0000 0.5000  8 Cu 2.55-2.58
Cu 0.5000 0.2480 0.7533  8 Cu 2.54-2.60
Cu 0.5000 0.2480 0.2467  8 Cu 2.54-2.60
Cu 0.0000 0.5000 0.1640  6 Cu 2.52-2.55
Cu 0.0000 0.5000 0.8360  6 Cu 2.52-2.55
Cu 0.5000 0.5000 0.0000  8 Cu 2.52-2.54
Cu 0.0000 0.0000 0.3315  6 Cu 2.54-2.55
Cu 0.0000 0.0000 0.6685  6 Cu 2.54-2.55
Pm 0.0000 0.0000 0.0000  14 Cu 2.93-3.27
Cu 0.5000 0.7520 0.7533  8 Cu 2.54-2.60

Computed, not measured: a relaxed Al2CrTe crystal at the PBE level of DFT.

calculated density	5.04	g/cm3
uncorrected energy	-4.782	eV per atom
SG	No. 65
Fermi-level density of states	1.71	states/eV per cell

Cell: 4.8064 4.8064 3.5355 Å, 90.00 90.00 109.74°
Last column: nearest neighbours and their distance in Å.
Fractional positions:
Al 0.0000 0.0000 0.0000  2 Al 2.77, 4 Te 2.98, 4 Cr 2.98
Cr 0.5000 0.0000 0.5000  2 Te 2.77, 8 Al 2.98
Al 0.5000 0.5000 0.0000  2 Al 2.77, 4 Cr 2.98, 4 Te 2.98
Te 0.0000 0.5000 0.5000  2 Cr 2.77, 8 Al 2.98

Computed, not measured: a relaxed RbNbAg2Cl8 crystal at the PBE level of DFT.

calculated density	2.80	g/cm3
uncorrected energy	-3.708	eV per atom
SG	No. 2

Cell: 6.2942 7.4876 9.5271 Å, 64.26 86.43 93.68°
Last column: nearest neighbours and their distance in Å.
Fractional positions:
Cl 0.3288 0.2030 0.9615  1 Nb 2.40, 1 Ag 2.58
Nb 0.0000 0.0000 0.0000  6 Cl 2.36-2.42
Cl 0.9076 0.2375 0.7490  1 Nb 2.42
Ag 0.5059 0.3584 0.6773  4 Cl 2.56-2.77
Rb 0.0000 0.0000 0.5000  6 Cl 3.38-3.57
Cl 0.0924 0.7625 0.2510  1 Nb 2.42
Ag 0.4941 0.6416 0.3227  4 Cl 2.56-2.77
Cl 0.1656 0.8227 0.8773  1 Nb 2.36
Cl 0.6712 0.7970 0.0385  1 Nb 2.40, 1 Ag 2.58
Cl 0.4791 0.2602 0.4527  2 Ag 2.56-2.57
Cl 0.8344 0.1773 0.1227  1 Nb 2.36
Cl 0.5209 0.7398 0.5473  2 Ag 2.56-2.57

Computed, not measured: a relaxed TiAuSN2 crystal at the PBE level of DFT.

calculated density	6.35	g/cm3
uncorrected energy	-5.920	eV per atom
SG	No. 123
Fermi-level density of states	3.45	states/eV per cell

Cell: 3.7976 3.7976 5.5278 Å, 90.00 90.00 90.00°
Last column: nearest neighbours and their distance in Å.
Fractional positions:
Ti 0.0000 0.0000 0.0000  4 N 1.90
Au 0.5000 0.5000 0.5000  4 S 2.69
S 0.0000 0.0000 0.5000  4 Au 2.69, 2 Ti 2.76
N 0.0000 0.5000 0.0000  2 Ti 1.90
N 0.5000 0.0000 0.0000  2 Ti 1.90

Computed, not measured: a relaxed NaLaBiSb crystal at the PBE level of DFT.

calculated density	6.70	g/cm3
uncorrected energy	-4.127	eV per atom
SG	No. 216
Fermi-level density of states	4.37	states/eV per cell

Cell: 5.5690 5.5690 5.5690 Å, 60.00 60.00 60.00°
Last column: nearest neighbours and their distance in Å.
Fractional positions:
Bi 0.7500 0.7500 0.7500  4 Na 3.41, 4 La 3.41
La 0.5000 0.5000 0.5000  4 Sb 3.41, 4 Bi 3.41
Na 0.0000 0.0000 0.0000  4 Bi 3.41, 4 Sb 3.41
Sb 0.2500 0.2500 0.2500  4 Na 3.41, 4 La 3.41

Computed, not measured: a relaxed SbW2Au crystal at the PBE level of DFT.

calculated density	14.59	g/cm3
uncorrected energy	-7.911	eV per atom
SG	No. 160
Fermi-level density of states	1.61	states/eV per cell

Cell: 9.1129 9.1129 9.1129 Å, 20.09 20.09 20.09°
Last column: nearest neighbours and their distance in Å.
Fractional positions:
Au 0.5076 0.5076 0.5076  3 W 2.88, 3 Sb 3.16, 6 Au 3.18
W 0.2569 0.2569 0.2569  3 W 2.56
Sb 0.7450 0.7450 0.7450  3 W 2.98, 3 Au 3.16, 6 Sb 3.18
W 0.9905 0.9905 0.9905  3 W 2.56